5
Lattice="6.5726 0.0000 0.0000 0.0000 6.5726 0.0000 0.0000 0.0000 6.5726" Properties=species:S:1:pos:R:3 comment="RbNaHg3 PBE relaxed" delta_e_f_mev_per_atom=157.7 dos_ef_per_ev_atom=0.58 e_tot_ev_per_cell=-2.40 magmom_total_mub_per_cell=0.0 volume_a3_per_cell=284 pbc="T T T"
Rb 0.0000 0.0000 0.0000
Na 3.2863 3.2863 3.2863
Hg 0.0000 0.0000 3.2863
Hg 0.0000 3.2863 0.0000
Hg 3.2863 0.0000 0.0000